# 1
The following is a DFT calculation (PBE) of a relaxed structure of YTi2W.

## Properties
The excess energy over the best structure of this formula in the dataset is 694 meV/atom. The calculation puts the energy relative to the elements at 0.821 eV/atom. Its space group is I-42d.

Cell lengths 10.1651, 10.1651, 10.1651 Å; angles 156.54, 156.54, 33.41 degrees
Last column: nearest neighbours and their distance in Å.
Atoms (fractional coordinates):
Y 0.0000 0.0000 0.0000  4 Ti 2.88, 4 W 2.92
Y 0.7500 0.2500 0.5000  4 Ti 2.88, 4 W 2.92
Ti 0.1521 0.1250 0.5271  4 Ti 2.77-3.08, 2 W 2.80, 2 Y 2.88
Ti 0.3750 0.8479 0.9729  4 Ti 2.77-3.08, 2 W 2.80, 2 Y 2.88
Ti 0.5979 0.6250 0.4729  4 Ti 2.77-3.08, 2 W 2.80, 2 Y 2.88
Ti 0.8750 0.4021 0.0271  4 Ti 2.77-3.08, 2 W 2.80, 2 Y 2.88
W 0.2500 0.7500 0.5000  4 Ti 2.80, 4 Y 2.92
W 0.5000 0.5000 0.0000  4 Ti 2.80, 4 Y 2.92


# 2
The following is a DFT calculation (PBE) of a relaxed structure of Y3TiW.

## Properties
The excess energy over the best structure of this formula in the dataset is 0 meV/atom. The calculation puts the energy relative to the elements at 0.975 eV/atom. Its space group is Pm-3m.

Cell lengths 5.3694, 5.3694, 5.3694 Å; angles 90.00, 90.00, 90.00 degrees
Last column: nearest neighbours and their distance in Å.
Atoms (fractional coordinates):
Y 0.0000 0.0000 0.5000  2 W 2.68
Y 0.0000 0.5000 0.0000  2 W 2.68
Y 0.5000 0.0000 0.0000  2 W 2.68
Ti 0.5000 0.5000 0.5000  12 Y 3.80
W 0.0000 0.0000 0.0000  6 Y 2.68


# 3
The following is a DFT calculation (PBE) of a relaxed structure of Y3TiW.

## Properties
The excess energy over the best structure of this formula in the dataset is 469 meV/atom. The calculation puts the energy relative to the elements at 1.444 eV/atom. Its space group is Pm-3m.

Cell lengths 5.1267, 5.1267, 5.1267 Å; angles 90.00, 90.00, 90.00 degrees
Last column: nearest neighbours and their distance in Å.
Atoms (fractional coordinates):
Y 0.0000 0.0000 0.5000  2 Ti 2.56
Y 0.0000 0.5000 0.0000  2 Ti 2.56
Y 0.5000 0.0000 0.0000  2 Ti 2.56
Ti 0.0000 0.0000 0.0000  6 Y 2.56
W 0.5000 0.5000 0.5000  12 Y 3.63


# 4
The following is a DFT calculation (PBE) of a relaxed structure of YTi3W.

## Properties
The excess energy over the best structure of this formula in the dataset is 0 meV/atom. The calculation puts the energy relative to the elements at 0.570 eV/atom. Its space group is Pm-3m.

Cell lengths 4.8552, 4.8552, 4.8552 Å; angles 90.00, 90.00, 90.00 degrees
Last column: nearest neighbours and their distance in Å.
Atoms (fractional coordinates):
Y 0.0000 0.0000 0.0000  12 Ti 3.43
Ti 0.0000 0.5000 0.5000  2 W 2.43
Ti 0.5000 0.0000 0.5000  2 W 2.43
Ti 0.5000 0.5000 0.0000  2 W 2.43
W 0.5000 0.5000 0.5000  6 Ti 2.43


# 5
The following is a DFT calculation (PBE) of a relaxed structure of TiZnW3.

## Properties
The excess energy over the best structure of this formula in the dataset is 0 meV/atom. The calculation puts the energy relative to the elements at 1.761 eV/atom. Its space group is Pm-3m.

Cell lengths 4.5511, 4.5511, 4.5511 Å; angles 90.00, 90.00, 90.00 degrees
Last column: nearest neighbours and their distance in Å.
Atoms (fractional coordinates):
Ti 0.0000 0.0000 0.0000  12 W 3.22
Zn 0.5000 0.5000 0.5000  6 W 2.28
W 0.0000 0.5000 0.5000  2 Zn 2.28
W 0.5000 0.0000 0.5000  2 Zn 2.28
W 0.5000 0.5000 0.0000  2 Zn 2.28


# 6
The following is a DFT calculation (PBE) of a relaxed structure of Ti2ZnW.

## Properties
The calculation puts the energy relative to the elements at 0.446 eV/atom. Its space group is I-42d.

Cell lengths 5.6789, 5.6789, 5.6789 Å; angles 102.71, 102.71, 124.06 degrees
Last column: nearest neighbours and their distance in Å.
Atoms (fractional coordinates):
Ti 0.1219 0.6250 0.9969  2 Zn 2.58, 2 W 2.61, 2 Ti 2.66
Ti 0.3750 0.3719 0.4969  2 Zn 2.58, 2 W 2.61, 2 Ti 2.66
Ti 0.6281 0.1250 0.0031  2 Zn 2.58, 2 W 2.61, 2 Ti 2.66
Ti 0.8750 0.8781 0.5031  2 Zn 2.58, 2 W 2.61, 2 Ti 2.66
Zn 0.0000 0.0000 0.0000  4 Ti 2.58, 2 W 2.66
Zn 0.7500 0.2500 0.5000  4 Ti 2.58, 2 W 2.66
W 0.2500 0.7500 0.5000  4 Ti 2.61, 2 Zn 2.66
W 0.5000 0.5000 0.0000  4 Ti 2.61, 2 Zn 2.66


# 7
The following is a DFT calculation (PBE) of a relaxed structure of Ti6Zn5W.

## Properties
The calculation puts the energy relative to the elements at -0.175 eV/atom. Its space group is Cmmm.

Cell lengths 7.0561, 7.0561, 6.2848 Å; angles 90.00, 90.00, 143.01 degrees
Last column: nearest neighbours and their distance in Å.
Atoms (fractional coordinates):
Ti 0.0000 0.0000 0.2485  6 Zn 2.69-2.75, 2 W 2.73
Ti 0.0000 0.0000 0.7515  6 Zn 2.69-2.75, 2 W 2.73
Ti 0.3351 0.6649 0.2466  1 W 2.70, 7 Zn 2.72-2.76
Ti 0.3351 0.6649 0.7534  1 W 2.70, 7 Zn 2.72-2.76
Ti 0.6649 0.3351 0.2466  1 W 2.70, 7 Zn 2.72-2.76
Ti 0.6649 0.3351 0.7534  1 W 2.70, 7 Zn 2.72-2.76
Zn 0.1640 0.8360 0.0000  8 Ti 2.69-2.76
Zn 0.1684 0.8316 0.5000  8 Ti 2.74-2.75
Zn 0.5000 0.5000 0.5000  8 Ti 2.72-2.74
Zn 0.8316 0.1684 0.5000  8 Ti 2.74-2.75
Zn 0.8360 0.1640 0.0000  8 Ti 2.69-2.76
W 0.5000 0.5000 0.0000  8 Ti 2.70-2.73


# 8
The following is a DFT calculation (PBE) of a relaxed structure of Ti3Zn2W.

## Properties
The calculation puts the energy relative to the elements at -0.154 eV/atom. Its space group is P4/mmm.

Cell lengths 3.2098, 3.2098, 9.2532 Å; angles 90.00, 90.00, 90.00 degrees
Last column: nearest neighbours and their distance in Å.
Atoms (fractional coordinates):
Ti 0.0000 0.0000 0.0000  8 Zn 2.75
Ti 0.0000 0.0000 0.3393  4 W 2.71, 4 Zn 2.77, 1 Ti 2.97
Ti 0.0000 0.0000 0.6607  4 W 2.71, 4 Zn 2.77, 1 Ti 2.97
Zn 0.5000 0.5000 0.1679  8 Ti 2.75-2.77, 1 W 3.07
Zn 0.5000 0.5000 0.8321  8 Ti 2.75-2.77, 1 W 3.07
W 0.5000 0.5000 0.5000  8 Ti 2.71


# 9
The following is a DFT calculation (PBE) of a relaxed structure of Ti4Zn3W.

## Properties
The calculation puts the energy relative to the elements at -0.163 eV/atom. Its space group is P4/mmm.

Cell lengths 3.2034, 3.2034, 12.3243 Å; angles 90.00, 90.00, 90.00 degrees
Last column: nearest neighbours and their distance in Å.
Atoms (fractional coordinates):
Ti 0.0000 0.0000 0.1209  4 W 2.71, 4 Zn 2.77, 1 Ti 2.98
Ti 0.0000 0.0000 0.3754  8 Zn 2.74
Ti 0.0000 0.0000 0.6246  8 Zn 2.74
Ti 0.0000 0.0000 0.8791  4 W 2.71, 4 Zn 2.77, 1 Ti 2.98
Zn 0.5000 0.5000 0.2502  8 Ti 2.74-2.77
Zn 0.5000 0.5000 0.5000  8 Ti 2.74
Zn 0.5000 0.5000 0.7498  8 Ti 2.74-2.77
W 0.5000 0.5000 0.0000  8 Ti 2.71


# 10
The following is a DFT calculation (PBE) of a relaxed structure of Ti2ZnW.

## Properties
The calculation puts the energy relative to the elements at 0.439 eV/atom. Its space group is Immm.

Cell lengths 5.8569, 5.8569, 5.8569 Å; angles 153.00, 132.66, 55.35 degrees
Last column: nearest neighbours and their distance in Å.
Atoms (fractional coordinates):
Ti 0.2451 0.2451 0.0000  1 Zn 2.54, 1 W 2.64, 6 Ti 2.72-2.73
Ti 0.7549 0.7549 0.0000  1 Zn 2.54, 1 W 2.64, 6 Ti 2.72-2.73
Zn 0.0000 0.0000 0.0000  2 Ti 2.54, 4 W 2.72, 2 Zn 2.73
W 0.5000 0.5000 0.0000  2 Ti 2.64, 4 Zn 2.72, 2 W 2.73


# 11
The following is a DFT calculation (PBE) of a relaxed structure of TiZn4W.

## Properties
The calculation puts the energy relative to the elements at -0.008 eV/atom. Its space group is F-43m.

Cell lengths 4.9620, 4.9620, 4.9620 Å; angles 60.00, 60.00, 60.00 degrees
Last column: nearest neighbours and their distance in Å.
Atoms (fractional coordinates):
Ti 0.0000 0.0000 0.0000  12 Zn 2.91, 4 W 3.04
Zn 0.3752 0.3752 0.3752  6 Zn 2.48-2.49
Zn 0.3752 0.3752 0.8743  6 Zn 2.48-2.49
Zn 0.3752 0.8743 0.3752  6 Zn 2.48-2.49
Zn 0.8743 0.3752 0.3752  6 Zn 2.48-2.49
W 0.7500 0.7500 0.7500  12 Zn 2.91, 4 Ti 3.04


# 12
The following is a DFT calculation (PBE) of a relaxed structure of Ti2ZnW.

## Properties
The calculation puts the energy relative to the elements at -0.080 eV/atom. Its space group is P4/mmm.

Cell lengths 4.3537, 4.3537, 3.3141 Å; angles 90.00, 90.00, 90.00 degrees
Last column: nearest neighbours and their distance in Å.
Atoms (fractional coordinates):
Ti 0.0000 0.5000 0.0000  4 W 2.74, 4 Zn 2.74
Ti 0.5000 0.0000 0.0000  4 W 2.74, 4 Zn 2.74
Zn 0.0000 0.0000 0.5000  8 Ti 2.74
W 0.5000 0.5000 0.5000  8 Ti 2.74


- Among the records above, which one has the lowest energy relative to the elements?
  Ti6Zn5W


- What is the formula in the first record?
  YTi2W


- Among the records above, which one has the highest energy relative to the elements?
  TiZnW3